(1)
{"formula": "Be2MoAs", "functional": "PBE-GGA", "state": "relaxed", "lattice": [[2.6560, 0.0000, 0.0000], [0.0000, 2.6560, 0.0000], [0.0000, 0.0000, 7.7703]], "species": ["Be", "Be", "Mo", "As"], "frac_coords": [[0.0000, 0.0000, 0.0000], [0.5000, 0.5000, 0.1428], [0.0000, 0.0000, 0.3669], [0.5000, 0.5000, 0.6538]], "n_ef_per_ev_fu": 2.2, "sg": "No. 99", "dft_energy_ev_per_cell": -21.33, "volume_a3_per_atom": 13.70}

(2)
{"formula": "TaCuRu2", "functional": "PBE-GGA", "state": "relaxed", "lattice": [[4.6286, -1.4901, 0.0000], [4.6286, 1.4901, 0.0000], [-1.1737, 0.0000, 4.2449]], "species": ["Ta", "Cu", "Ru", "Ru"], "frac_coords": [[0.0000, 0.0000, 0.0000], [0.7512, 0.7512, 0.2546], [0.2433, 0.2433, 0.7456], [0.4964, 0.4964, 0.5006]], "n_ef_per_ev_fu": 3.2, "sg": "No. 8", "dft_energy_ev_per_cell": -34.41, "volume_a3_per_atom": 14.64}